A relaxed structure of Pm2PrHfP4, computed with PBE-GGA.

```
data_Pm2PrHfP4
_symmetry_space_group_name_H-M 'P 1'
_symmetry_Int_Tables_number 1
_symmetry_space_group_name_Hall 'P 1'
_cell_length_a 6.978
_cell_length_b 4.025
_cell_length_c 6.990
_cell_angle_alpha 90.00
_cell_angle_beta 109.17
_cell_angle_gamma 90.00
loop_
_atom_site_label
_atom_site_type_symbol
_atom_site_fract_x
_atom_site_fract_y
_atom_site_fract_z
Pm1 Pm 0.000 0.000 0.000
Pm2 Pm 0.000 0.500 0.500
Pr1 Pr 0.500 0.000 0.500
Hf1 Hf 0.500 0.500 0.000
P1 P 0.258 0.500 0.236
P2 P 0.269 0.000 0.771
P3 P 0.731 0.000 0.229
P4 P 0.742 0.500 0.764
```

Results
M_tot, μB/f.u.: 0.00
Total DFT energy (no corrections), eV per atom: -7.18
Energy of formation, eV/f.u.: -11.58
Space-group type: P2/m, No. 10



A relaxed structure of PmPr2HfP4, computed with PBE-GGA.

```
data_PmPr2HfP4
_symmetry_space_group_name_H-M 'P 1'
_symmetry_Int_Tables_number 1
_symmetry_space_group_name_Hall 'P 1'
_cell_length_a 7.008
_cell_length_b 4.038
_cell_length_c 7.021
_cell_angle_alpha 90.00
_cell_angle_beta 109.15
_cell_angle_gamma 90.00
loop_
_atom_site_label
_atom_site_type_symbol
_atom_site_fract_x
_atom_site_fract_y
_atom_site_fract_z
Pm1 Pm 0.000 0.000 0.000
Pr1 Pr 0.000 0.500 0.500
Pr2 Pr 0.500 0.000 0.500
Hf1 Hf 0.500 0.500 0.000
P1 P 0.260 0.500 0.234
P2 P 0.271 0.000 0.774
P3 P 0.729 0.000 0.226
P4 P 0.740 0.500 0.766
```

Results
M_tot, μB/f.u.: 0.00
Total DFT energy (no corrections), eV per atom: -7.18
Energy of formation, eV/f.u.: -11.55
Space-group type: P2/m, No. 10



A relaxed structure of PmHfP2Rh5, computed with PBE-GGA.

```
data_PmHfP2Rh5
_symmetry_space_group_name_H-M 'P 1'
_symmetry_Int_Tables_number 1
_symmetry_space_group_name_Hall 'P 1'
_cell_length_a 4.054
_cell_length_b 4.054
_cell_length_c 10.245
_cell_angle_alpha 90.00
_cell_angle_beta 90.00
_cell_angle_gamma 90.00
loop_
_atom_site_label
_atom_site_type_symbol
_atom_site_fract_x
_atom_site_fract_y
_atom_site_fract_z
Pm1 Pm 0.000 0.000 0.000
Hf1 Hf 0.000 0.000 0.500
P1 P 0.500 0.500 0.221
P2 P 0.500 0.500 0.779
Rh1 Rh 0.000 0.500 0.322
Rh2 Rh 0.000 0.500 0.678
Rh3 Rh 0.500 0.000 0.322
Rh4 Rh 0.500 0.000 0.678
Rh5 Rh 0.500 0.500 0.000
```

Results
M_tot, μB/f.u.: 0.00
Total DFT energy (no corrections), eV per atom: -7.72
Energy of formation, eV/f.u.: -7.20
Space-group type: P4/mmm, No. 123



A relaxed structure of Pm2HfScP4, computed with PBE-GGA.

```
data_Pm2HfScP4
_symmetry_space_group_name_H-M 'P 1'
_symmetry_Int_Tables_number 1
_symmetry_space_group_name_Hall 'P 1'
_cell_length_a 6.778
_cell_length_b 3.915
_cell_length_c 6.808
_cell_angle_alpha 90.00
_cell_angle_beta 109.29
_cell_angle_gamma 90.00
loop_
_atom_site_label
_atom_site_type_symbol
_atom_site_fract_x
_atom_site_fract_y
_atom_site_fract_z
Pm1 Pm 0.000 0.000 0.000
Pm2 Pm 0.500 0.500 0.000
Hf1 Hf 0.000 0.500 0.500
Sc1 Sc 0.500 0.000 0.500
P1 P 0.239 0.000 0.724
P2 P 0.256 0.500 0.275
P3 P 0.744 0.500 0.725
P4 P 0.761 0.000 0.276
```

Results
M_tot, μB/f.u.: 0.00
Total DFT energy (no corrections), eV per atom: -7.41
Energy of formation, eV/f.u.: -11.82
Space-group type: P2/m, No. 10



A relaxed structure of PmSm2HfP4, computed with PBE-GGA.

```
data_PmSm2HfP4
_symmetry_space_group_name_H-M 'P 1'
_symmetry_Int_Tables_number 1
_symmetry_space_group_name_Hall 'P 1'
_cell_length_a 6.928
_cell_length_b 3.994
_cell_length_c 6.931
_cell_angle_alpha 90.00
_cell_angle_beta 109.19
_cell_angle_gamma 90.00
loop_
_atom_site_label
_atom_site_type_symbol
_atom_site_fract_x
_atom_site_fract_y
_atom_site_fract_z
Pm1 Pm 0.000 0.000 0.000
Sm1 Sm 0.500 0.000 0.500
Sm2 Sm 0.500 0.500 0.000
Hf1 Hf 0.000 0.500 0.500
P1 P 0.232 0.000 0.731
P2 P 0.241 0.500 0.261
P3 P 0.759 0.500 0.739
P4 P 0.768 0.000 0.269
```

Results
M_tot, μB/f.u.: 0.00
Total DFT energy (no corrections), eV per atom: -7.20
Energy of formation, eV/f.u.: -11.83
Space-group type: P2/m, No. 10



A relaxed structure of Tb2PmHfP4, computed with PBE-GGA.

```
data_Tb2PmHfP4
_symmetry_space_group_name_H-M 'P 1'
_symmetry_Int_Tables_number 1
_symmetry_space_group_name_Hall 'P 1'
_cell_length_a 6.854
_cell_length_b 3.957
_cell_length_c 6.868
_cell_angle_alpha 90.00
_cell_angle_beta 109.22
_cell_angle_gamma 90.00
loop_
_atom_site_label
_atom_site_type_symbol
_atom_site_fract_x
_atom_site_fract_y
_atom_site_fract_z
Tb1 Tb 0.000 0.000 0.000
Tb2 Tb 0.000 0.500 0.500
Pm1 Pm 0.500 0.000 0.500
Hf1 Hf 0.500 0.500 0.000
P1 P 0.254 0.500 0.237
P2 P 0.263 0.000 0.767
P3 P 0.737 0.000 0.233
P4 P 0.746 0.500 0.763
```

Results
M_tot, μB/f.u.: 0.00
Total DFT energy (no corrections), eV per atom: -7.20
Energy of formation, eV/f.u.: -12.00
Space-group type: P2/m, No. 10



A relaxed structure of PmHfU2P4, computed with PBE-GGA.

```
data_PmHfU2P4
_symmetry_space_group_name_H-M 'P 1'
_symmetry_Int_Tables_number 1
_symmetry_space_group_name_Hall 'P 1'
_cell_length_a 6.766
_cell_length_b 3.895
_cell_length_c 6.831
_cell_angle_alpha 90.00
_cell_angle_beta 109.07
_cell_angle_gamma 90.00
loop_
_atom_site_label
_atom_site_type_symbol
_atom_site_fract_x
_atom_site_fract_y
_atom_site_fract_z
Pm1 Pm 0.000 0.000 0.000
Hf1 Hf 0.500 0.500 0.000
U1 U 0.000 0.500 0.500
U2 U 0.500 0.000 0.500
P1 P 0.265 0.000 0.757
P2 P 0.265 0.500 0.253
P3 P 0.735 0.000 0.243
P4 P 0.735 0.500 0.747
```

Results
M_tot, μB/f.u.: 4.21
Total DFT energy (no corrections), eV per atom: -8.55
Energy of formation, eV/f.u.: -9.48
Space-group type: P2/m, No. 10



A relaxed structure of PmY2HfP4, computed with PBE-GGA.

```
data_PmY2HfP4
_symmetry_space_group_name_H-M 'P 1'
_symmetry_Int_Tables_number 1
_symmetry_space_group_name_Hall 'P 1'
_cell_length_a 6.842
_cell_length_b 3.950
_cell_length_c 6.857
_cell_angle_alpha 90.00
_cell_angle_beta 109.22
_cell_angle_gamma 90.00
loop_
_atom_site_label
_atom_site_type_symbol
_atom_site_fract_x
_atom_site_fract_y
_atom_site_fract_z
Pm1 Pm 0.000 0.000 0.000
Y1 Y 0.500 0.000 0.500
Y2 Y 0.500 0.500 0.000
Hf1 Hf 0.000 0.500 0.500
P1 P 0.238 0.000 0.733
P2 P 0.247 0.500 0.263
P3 P 0.753 0.500 0.737
P4 P 0.762 0.000 0.267
```

Results
M_tot, μB/f.u.: 0.00
Total DFT energy (no corrections), eV per atom: -7.66
Energy of formation, eV/f.u.: -12.04
Space-group type: P2/m, No. 10



A relaxed structure of PrHfP2, computed with PBE-GGA.

```
data_PrHfP2
_symmetry_space_group_name_H-M 'P 1'
_symmetry_Int_Tables_number 1
_symmetry_space_group_name_Hall 'P 1'
_cell_length_a 7.174
_cell_length_b 7.174
_cell_length_c 7.174
_cell_angle_alpha 31.09
_cell_angle_beta 31.09
_cell_angle_gamma 31.09
loop_
_atom_site_label
_atom_site_type_symbol
_atom_site_fract_x
_atom_site_fract_y
_atom_site_fract_z
Pr1 Pr 0.000 0.000 0.000
Hf1 Hf 0.174 0.174 0.174
P1 P 0.576 0.576 0.576
P2 P 0.766 0.766 0.766
```

Results
M_tot, μB/f.u.: 0.00
Total DFT energy (no corrections), eV per atom: -7.68
Energy of formation, eV/f.u.: -5.18
Space-group type: R3m, No. 160



A relaxed structure of PrHfP2, computed with PBE-GGA.

```
data_PrHfP2
_symmetry_space_group_name_H-M 'P 1'
_symmetry_Int_Tables_number 1
_symmetry_space_group_name_Hall 'P 1'
_cell_length_a 6.904
_cell_length_b 6.904
_cell_length_c 6.904
_cell_angle_alpha 32.86
_cell_angle_beta 32.86
_cell_angle_gamma 32.86
loop_
_atom_site_label
_atom_site_type_symbol
_atom_site_fract_x
_atom_site_fract_y
_atom_site_fract_z
Pr1 Pr 0.000 0.000 0.000
Hf1 Hf 0.500 0.500 0.500
P1 P 0.239 0.239 0.239
P2 P 0.761 0.761 0.761
```

Results
M_tot, μB/f.u.: 0.00
Total DFT energy (no corrections), eV per atom: -7.77
Energy of formation, eV/f.u.: -5.54
Space-group type: R-3m, No. 166



A relaxed structure of PrHfP, computed with PBE-GGA.

```
data_PrHfP
_symmetry_space_group_name_H-M 'P 1'
_symmetry_Int_Tables_number 1
_symmetry_space_group_name_Hall 'P 1'
_cell_length_a 4.115
_cell_length_b 4.115
_cell_length_c 7.993
_cell_angle_alpha 90.00
_cell_angle_beta 90.00
_cell_angle_gamma 90.00
loop_
_atom_site_label
_atom_site_type_symbol
_atom_site_fract_x
_atom_site_fract_y
_atom_site_fract_z
Pr1 Pr 0.250 0.250 0.145
Pr2 Pr 0.750 0.750 0.855
Hf1 Hf 0.250 0.750 0.500
Hf2 Hf 0.750 0.250 0.500
P1 P 0.250 0.250 0.736
P2 P 0.750 0.750 0.264
```

Results
M_tot, μB/f.u.: 0.00
Total DFT energy (no corrections), eV per atom: -7.66
Energy of formation, eV/f.u.: -2.83
Space-group type: P4/nmm, No. 129



A relaxed structure of Pr2HfP3, computed with PBE-GGA.

```
data_Pr2HfP3
_symmetry_space_group_name_H-M 'P 1'
_symmetry_Int_Tables_number 1
_symmetry_space_group_name_Hall 'P 1'
_cell_length_a 8.963
_cell_length_b 8.963
_cell_length_c 8.963
_cell_angle_alpha 153.87
_cell_angle_beta 153.87
_cell_angle_gamma 37.28
loop_
_atom_site_label
_atom_site_type_symbol
_atom_site_fract_x
_atom_site_fract_y
_atom_site_fract_z
Pr1 Pr 0.166 0.166 0.000
Pr2 Pr 0.834 0.834 0.000
Hf1 Hf 0.500 0.500 0.000
P1 P 0.000 0.000 0.000
P2 P 0.344 0.344 0.000
P3 P 0.656 0.656 0.000
```

Results
M_tot, μB/f.u.: 0.00
Total DFT energy (no corrections), eV per atom: -7.27
Energy of formation, eV/f.u.: -7.90
Space-group type: I4/mmm, No. 139



A relaxed structure of PrPu2HfP4, computed with PBE-GGA.

```
data_PrPu2HfP4
_symmetry_space_group_name_H-M 'P 1'
_symmetry_Int_Tables_number 1
_symmetry_space_group_name_Hall 'P 1'
_cell_length_a 6.809
_cell_length_b 3.969
_cell_length_c 6.921
_cell_angle_alpha 90.00
_cell_angle_beta 109.39
_cell_angle_gamma 90.00
loop_
_atom_site_label
_atom_site_type_symbol
_atom_site_fract_x
_atom_site_fract_y
_atom_site_fract_z
Pr1 Pr 0.000 0.000 0.000
Pu1 Pu 0.500 0.000 0.500
Pu2 Pu 0.500 0.500 0.000
Hf1 Hf 0.000 0.500 0.500
P1 P 0.242 0.000 0.731
P2 P 0.255 0.500 0.270
P3 P 0.745 0.500 0.730
P4 P 0.758 0.000 0.269
```

Results
M_tot, μB/f.u.: 10.16
Total DFT energy (no corrections), eV per atom: -9.39
Energy of formation, eV/f.u.: -10.11
Space-group type: P2/m, No. 10